No. 1
This record from the Alexandria database describes Na2Cd3Sn after structural relaxation. The functional is PBE-GGA.

Lattice parameters (Å, degrees): 6.667 10.242 17.735 90.00 90.00 90.00
Space group Fmmm (No. 69)
Inequivalent atoms, fractional coordinates:
Na1 0.249 0.000 0.000
Na2 0.250 0.250 0.250
Cd1 0.000 0.000 0.167
Cd2 0.000 0.247 0.083
Sn1 0.000 0.000 0.337

Results
- Offset from the most stable computed form: 0.0 meV/atom
- Energy of formation from the pure elements: -0.130 eV per atom
- Uncorrected energy: -81.352 eV/cell


No. 2
This record from the Alexandria database describes Na4Cd2Sn after structural relaxation. The functional is PBE-GGA.

Lattice parameters (Å, degrees): 5.966 5.966 15.251 90.00 90.00 90.00
Space group I4/mmm (No. 139)
Inequivalent atoms, fractional coordinates:
Na1 0.000 0.000 0.196
Na2 0.000 0.500 0.000
Cd1 0.000 0.000 0.401
Sn1 0.000 0.000 0.000

Results
- Offset from the most stable computed form: 169.3 meV/atom
- Energy of formation from the pure elements: 0.103 eV per atom
- Uncorrected energy: -20.771 eV/cell